# 1
Material: CrPtCl
Method: DFT, GGA-PBEsol
State: optimized geometry

a b c (Å): 6.346 6.346 6.346
angles (deg): 153.62 153.62 37.65
Fractional positions:
1 Cr 0.000 0.000 0.000
2 Pt 0.631 0.631 0.000
3 Cl 0.372 0.372 0.000

Calculated values
SG = I4mm
crystal system = tetragonal

# 2
Material: CrPtCl2
Method: DFT, GGA-PBEsol
State: optimized geometry

a b c (Å): 10.851 10.851 10.851
angles (deg): 14.86 14.86 14.86
Fractional positions:
1 Cr 0.000 0.000 0.000
2 Pt 0.500 0.500 0.500
3 Cl 0.066 0.066 0.066
4 Cl 0.934 0.934 0.934

Calculated values
SG = R-3m
crystal system = trigonal

# 3
Material: CrPt3Cl
Method: DFT, GGA-PBEsol
State: optimized geometry

a b c (Å): 4.464 4.464 4.464
angles (deg): 90.00 90.00 90.00
Fractional positions:
1 Cr 0.000 0.000 0.000
2 Pt 0.000 0.500 0.500
3 Pt 0.500 0.000 0.500
4 Pt 0.500 0.500 0.000
5 Cl 0.500 0.500 0.500

Calculated values
SG = Pm-3m
crystal system = cubic

Q: Which DOS at the Fermi energy values were calculated for the entries above? A: 2.9 4.7 3.0, in states/eV/cell.
Q: Which E_tot values were calculated for the entries above? A: -18.95 -19.15 -27.59, in eV/cell.